(1)
AgPOs2 | PBE | relaxed

abc: 2.8502 4.5414 9.0856
angles: 90.00 90.00 90.00
Space group Immm (No. 71)
Symmetry-distinct sites (fractional):
Ag  0.0000  0.0000  0.0000 x2
P  0.0000  0.0000  0.5000 x2
Os  0.0000  0.5000  0.2061 x4

Properties
**E_form**: 0.335 eV/atom
**Total moment**: 0.000 μB/atom
**DFT total energy**: -58.76 eV per cell



(2)
La2Tb2Sm7 | PBE | relaxed

abc: 12.3417 6.6885 9.4871
angles: 90.00 90.78 90.00
Space group C2/m (No. 12)
Symmetry-distinct sites (fractional):
La  0.0000  0.2496  0.0000 x4
Tb  0.2308  0.0000  0.5015 x4
Sm  0.0000  0.5000  0.5000 x2
Sm  0.0005  0.0000  0.6777 x4
Sm  0.2474  0.2515  0.8164 x8

Properties
**E_form**: 0.325 eV/atom
**Energy above the most stable polymorph in this dataset**: 210 meV/atom
**Total moment**: 0.000 μB/atom
**DFT total energy**: -97.15 eV per cell



(3)
RuSeNO2 | PBE | relaxed

abc: 3.6221 3.6221 5.5473
angles: 90.00 90.00 90.00
Space group P4/mmm (No. 123)
Symmetry-distinct sites (fractional):
Ru  0.0000  0.0000  0.0000 x1
Se  0.0000  0.0000  0.5000 x1
N  0.5000  0.5000  0.5000 x1
O  0.0000  0.5000  0.0000 x2

Properties
**Total moment**: 0.000 μB/atom
**DFT total energy**: -28.37 eV per cell
**E_form (uncorrected)**: 0.5262 eV/atom



(4)
NaAg12Au7 | PBE | relaxed

abc: 11.3198 11.3198 9.9610
angles: 90.00 90.00 120.00
Space group R-3m (No. 166, hexagonal axes)
Symmetry-distinct sites (fractional):
Na  0.0000  0.0000  0.0000 x3
Ag  0.0000  0.2616  0.5000 x18
Ag  0.0859  0.1719  0.2569 x18
Au  0.0000  0.0000  0.5000 x3
Au  0.0482  0.5241  0.6273 x18

Properties
**E_form**: 0.003 eV/atom
**Total moment**: 0.000 μB/atom
**DFT total energy**: -175.24 eV per cell